[1]
Entry from Alexandria via LeMat-Bulk: a geometry-optimized SrAgRh2 structure (GGA-PBEsol).

a b c (Å): 2.9806 4.8658 10.1119
angles (deg): 90.00 90.00 90.00
With the nearest neighbours (Å) after each atom.
Fractional positions:
Sr1 0.0000 0.0000 0.0000  6 Rh 2.86-3.14, 2 Sr 2.98
Sr2 0.5000 0.5000 0.5000  6 Rh 2.86-3.14, 2 Sr 2.98
Ag1 0.0000 0.5000 0.2177  6 Rh 2.82-2.91, 2 Ag 2.98
Ag2 0.5000 0.0000 0.7177  6 Rh 2.82-2.91, 2 Ag 2.98
Rh1 0.0000 0.0000 0.4809  2 Rh 2.57, 2 Ag 2.82, 4 Sr 2.86
Rh2 0.0000 0.5000 0.7738  2 Rh 2.57
Rh3 0.5000 0.0000 0.2738  2 Rh 2.57
Rh4 0.5000 0.5000 0.9809  2 Rh 2.57, 2 Ag 2.82, 4 Sr 2.86

Results
E	-5.13	eV/atom
total moment	0.007	μB per formula unit
energy of formation from the pure elements	0.231	eV/atom
density	9.1	g/cm3


[2]
Entry from Alexandria via LeMat-Bulk: a geometry-optimized SrAgRh2 structure (GGA-PBEsol).

a b c (Å): 4.2115 4.2115 8.0447
angles (deg): 90.00 90.00 90.00
With the nearest neighbours (Å) after each atom.
Fractional positions:
Sr1 0.0000 0.0000 0.0000  8 Rh 2.91, 4 Ag 2.98
Sr2 0.5000 0.5000 0.5000  8 Rh 2.91, 4 Ag 2.98
Ag1 0.0000 0.0000 0.5000  8 Rh 2.91, 4 Sr 2.98
Ag2 0.5000 0.5000 0.0000  8 Rh 2.91, 4 Sr 2.98
Rh1 0.0000 0.5000 0.2500  4 Sr 2.91, 4 Ag 2.91, 4 Rh 2.98
Rh2 0.0000 0.5000 0.7500  4 Sr 2.91, 4 Ag 2.91, 4 Rh 2.98
Rh3 0.5000 0.0000 0.2500  4 Sr 2.91, 4 Ag 2.91, 4 Rh 2.98
Rh4 0.5000 0.0000 0.7500  4 Sr 2.91, 4 Ag 2.91, 4 Rh 2.98

Results
E	-5.05	eV/atom
total moment	0.002	μB per formula unit
energy of formation from the pure elements	0.303	eV/atom
density	9.3	g/cm3


[3]
Entry from Alexandria via LeMat-Bulk: a geometry-optimized TaAgRh structure (GGA-PBEsol).

a b c (Å): 2.8642 3.8429 8.4805
angles (deg): 90.00 90.00 90.00
With the nearest neighbours (Å) after each atom.
Fractional positions:
Ta1 0.0000 0.0000 0.0000  5 Rh 2.73-2.92, 5 Ag 2.76-2.82, 2 Ta 2.86
Ta2 0.5000 0.5000 0.5000  5 Rh 2.73-2.92, 5 Ag 2.76-2.82, 2 Ta 2.86
Ag1 0.0000 0.0000 0.6751  5 Ta 2.76-2.82, 5 Rh 2.80, 2 Ag 2.86
Ag2 0.5000 0.5000 0.1751  5 Ta 2.76-2.82, 5 Rh 2.80, 2 Ag 2.86
Rh1 0.0000 0.0000 0.3449  5 Ta 2.73-2.92, 5 Ag 2.80, 2 Rh 2.86
Rh2 0.5000 0.5000 0.8449  5 Ta 2.73-2.92, 5 Ag 2.80, 2 Rh 2.86

Results
E	-8.14	eV/atom
total moment	0.000	μB per formula unit
energy of formation from the pure elements	-0.144	eV/atom
density	13.9	g/cm3
offset from the most stable computed form	0.0	meV/atom


[4]
Entry from Alexandria via LeMat-Bulk: a geometry-optimized TaAg2Rh structure (GGA-PBEsol).

a b c (Å): 3.9670 3.9787 7.9064
angles (deg): 90.00 90.00 90.00
With the nearest neighbours (Å) after each atom.
Fractional positions:
Ta1 0.0000 0.0000 0.0000  4 Rh 2.80-2.81, 8 Ag 2.80-2.81
Ta2 0.5000 0.5000 0.5000  4 Rh 2.80-2.81, 8 Ag 2.80-2.81
Ag1 0.0000 0.0000 0.5004  4 Ag 2.80, 4 Rh 2.80, 4 Ta 2.81
Ag2 0.0000 0.5000 0.7502  4 Ag 2.80, 4 Ta 2.80, 4 Rh 2.81
Ag3 0.5000 0.0000 0.2502  4 Ag 2.80, 4 Ta 2.80, 4 Rh 2.81
Ag4 0.5000 0.5000 0.0004  4 Ag 2.80, 4 Rh 2.80, 4 Ta 2.81
Rh1 0.0000 0.5000 0.2506  4 Ta 2.80-2.81, 8 Ag 2.80-2.81
Rh2 0.5000 0.0000 0.7506  4 Ta 2.80-2.81, 8 Ag 2.80-2.81

Results
E	-6.76	eV/atom
total moment	0.001	μB per formula unit
energy of formation from the pure elements	0.064	eV/atom
density	13.3	g/cm3
offset from the most stable computed form	16.6	meV/atom


[5]
Entry from Alexandria via LeMat-Bulk: a geometry-optimized TaAg2Rh structure (GGA-PBEsol).

a b c (Å): 9.7255 2.8473 4.6369
angles (deg): 90.00 100.41 90.00
With the nearest neighbours (Å) after each atom.
Fractional positions:
Ta1 0.0000 0.0000 0.0000  4 Rh 2.72, 2 Ta 2.85, 6 Ag 2.86-2.90
Ta2 0.5000 0.5000 0.0000  4 Rh 2.72, 2 Ta 2.85, 6 Ag 2.86-2.90
Ag1 0.2471 0.0000 0.7479  6 Ag 2.71-2.85, 3 Rh 2.85-2.90, 3 Ta 2.86-2.90
Ag2 0.2529 0.5000 0.2521  6 Ag 2.71-2.85, 3 Rh 2.85-2.90, 3 Ta 2.86-2.90
Ag3 0.7471 0.5000 0.7479  6 Ag 2.71-2.85, 3 Rh 2.85-2.90, 3 Ta 2.86-2.90
Ag4 0.7529 0.0000 0.2521  6 Ag 2.71-2.85, 3 Rh 2.85-2.90, 3 Ta 2.86-2.90
Rh1 0.0000 0.5000 0.5000  4 Ta 2.72, 2 Rh 2.85, 6 Ag 2.85-2.90
Rh2 0.5000 0.0000 0.5000  4 Ta 2.72, 2 Rh 2.85, 6 Ag 2.85-2.90

Results
E	-6.78	eV/atom
total moment	0.000	μB per formula unit
energy of formation from the pure elements	0.047	eV/atom
density	13.1	g/cm3
offset from the most stable computed form	0.0	meV/atom


[6]
Entry from Alexandria via LeMat-Bulk: a geometry-optimized TaAgRh2 structure (GGA-PBEsol).

a b c (Å): 2.8071 2.8071 26.8865
angles (deg): 90.00 90.00 120.00
With the nearest neighbours (Å) after each atom.
Fractional positions:
Ta1 0.0000 0.0000 0.0000  6 Rh 2.69, 6 Ta 2.81
Ta2 0.3333 0.6667 0.6667  6 Rh 2.69, 6 Ta 2.81
Ta3 0.6667 0.3333 0.3333  6 Rh 2.69, 6 Ta 2.81
Ag1 0.0000 0.0000 0.5000  6 Ag 2.81, 6 Rh 2.85
Ag2 0.3333 0.6667 0.1667  6 Ag 2.81, 6 Rh 2.85
Ag3 0.6667 0.3333 0.8333  6 Ag 2.81, 6 Rh 2.85
Rh1 0.0000 0.0000 0.2537  3 Ta 2.69, 6 Rh 2.81, 3 Ag 2.85
Rh2 0.0000 0.0000 0.7463  3 Ta 2.69, 6 Rh 2.81, 3 Ag 2.85
Rh3 0.3333 0.6667 0.4130  3 Ta 2.69, 6 Rh 2.81, 3 Ag 2.85
Rh4 0.3333 0.6667 0.9204  3 Ta 2.69, 6 Rh 2.81, 3 Ag 2.85
Rh5 0.6667 0.3333 0.0796  3 Ta 2.69, 6 Rh 2.81, 3 Ag 2.85
Rh6 0.6667 0.3333 0.5870  3 Ta 2.69, 6 Rh 2.81, 3 Ag 2.85

Results
E	-8.16	eV/atom
total moment	0.000	μB per formula unit
energy of formation from the pure elements	-0.127	eV/atom
density	13.4	g/cm3


Q: Which of these has the highest total moment?
A: number 1


Q: E of number 2 (SrAgRh2)?
A: -5.05 eV/atom


Q: Look up the total moment of the fifth one.
A: 0.000 μB per formula unit


Q: What is the E in the first record?
A: -5.13 eV/atom